Entry 1:
# As2IrCCl

A relaxed structure of As2IrCCl (GGA-PBEsol, Alexandria via LeMat-Bulk).

Cell and atoms, written as POSCAR:
```
As2IrCCl
1.0
-2.440 -1.497 2.521
3.564 -2.186 2.151
0.600 3.731 2.797
Ir As C Cl
1 2 1 1
direct
0.500 0.000 0.000 Ir
0.000 0.500 0.000 As
0.000 0.000 0.500 As
0.000 0.000 0.000 C
0.500 0.500 0.500 Cl
```

Results
The total energy comes out at -0.1968 Ha/atom. As for the energy relative to the elements, uncorrected: 474.5 kJ/mol of formula units. As for the magnetic moment: 0.0 μB/f.u.


Entry 2:
# MnAlPt

A relaxed structure of MnAlPt (GGA-PBEsol, Alexandria via LeMat-Bulk).

Cell and atoms, written as POSCAR:
```
MnAlPt
1.0
-1.330 -0.527 -2.364
-1.652 -2.950 1.586
-1.572 4.097 1.586
Mn Al Pt
1 1 1
direct
0.665 0.665 0.330 Mn
0.999 0.999 0.997 Al
0.337 0.337 0.673 Pt
```

Results
The total energy comes out at -0.2713 Ha/atom. As for the magnetic moment: 3.5 μB/f.u. The calculation puts the formation energy from the elements at -443 meV/atom.


Entry 3:
# AlHgRu

A relaxed structure of AlHgRu (GGA-PBEsol, Alexandria via LeMat-Bulk).

Cell and atoms, written as POSCAR:
```
AlHgRu
1.0
-4.073 -1.067 -0.886
-0.860 -3.670 -2.075
-1.872 -3.264 2.087
Hg Ru Al
1 1 1
direct
0.250 0.250 0.250 Hg
0.000 0.000 0.000 Ru
0.500 0.500 0.500 Al
```

Results
The total energy comes out at -0.1573 Ha/atom. As for the magnetic moment: 0.0 μB/f.u. The calculation puts the formation energy from the elements at 664 meV/atom.


Entry 4:
# BaZnCl

A relaxed structure of BaZnCl (GGA-PBEsol, Alexandria via LeMat-Bulk).

Cell and atoms, written as POSCAR:
```
BaZnCl
1.0
-3.620 3.613 -0.659
-1.363 -4.832 1.175
0.207 1.006 4.377
Cl Zn Ba
1 1 1
direct
0.333 0.667 0.820 Cl
0.667 0.333 0.338 Zn
0.000 0.000 0.842 Ba
```

Results
The total energy comes out at -0.1011 Ha/atom. As for the energy relative to the elements, uncorrected: -243.0 kJ/mol of formula units. As for the magnetic moment: 0.0 μB/f.u.


Entry 5:
# BaLa2TaNi

A relaxed structure of BaLa2TaNi (GGA-PBEsol, Alexandria via LeMat-Bulk).

Cell and atoms, written as POSCAR:
```
BaLa2TaNi
1.0
-1.257 -4.280 -1.114
3.991 -2.096 3.550
-3.813 0.004 4.288
Ba Ni La Ta
1 1 2 1
direct
0.000 0.000 0.000 Ba
0.500 0.000 0.000 Ni
0.000 0.500 0.000 La
0.000 0.000 0.500 La
0.500 0.500 0.500 Ta
```

Results
The total energy comes out at -0.1713 Ha/atom. As for the magnetic moment: 2.6 μB/f.u. The calculation puts the formation energy from the elements at 1649 meV/atom.


Entry 6:
# FeNiRh

A relaxed structure of FeNiRh (GGA-PBEsol, Alexandria via LeMat-Bulk).

Cell and atoms, written as POSCAR:
```
FeNiRh
1.0
2.590 0.000 0.000
0.000 3.509 0.000
-1.295 -1.755 3.875
Ni Fe Rh
1 1 1
direct
0.663 0.663 0.327 Ni
0.003 0.003 0.006 Fe
0.334 0.334 0.668 Rh
```

Results
The total energy comes out at -0.2839 Ha/atom. As for the offset from the most stable computed form: 0.0 meV/atom. As for the magnetic moment: 2.8 μB/f.u. The calculation puts the formation energy from the elements at 28 meV/atom.